Entry 1:
# Ti3AgH

Ti3AgH after structural relaxation (PBE, Alexandria).

distance to the lowest polymorph of the same formula	0	meV/atom
symmetry	No. 221
DFT total energy	-6.0762	eV/atom

a = 4.1095 Å, b = 4.1095 Å, c = 4.1095 Å
α = 90.00°, β = 90.00°, γ = 90.00°
Element x y z (fractional)
Ti 0.5000 0.0000 0.0000
Ti 0.0000 0.0000 0.5000
Ti 0.0000 0.5000 0.0000
H 0.0000 0.0000 0.0000
Ag 0.5000 0.5000 0.5000

Entry 2:
# Ti2AgH

Ti2AgH after structural relaxation (PBE, Alexandria).

distance to the lowest polymorph of the same formula	177	meV/atom
symmetry	No. 166
DFT total energy	-5.4031	eV/atom

a = 2.8268 Å, b = 2.8268 Å, c = 8.2211 Å
α = 80.10°, β = 80.10°, γ = 60.00°
Element x y z (fractional)
Ti 0.8863 0.8863 0.3410
Ti 0.1137 0.1137 0.6590
Ag 0.0000 0.0000 0.0000
H 0.5000 0.5000 0.5000

Entry 3:
# Ti2TlAgH

Ti2TlAgH after structural relaxation (PBE, Alexandria).

symmetry	No. 123
DFT total energy	-4.9066	eV/atom

a = 4.1377 Å, b = 4.1377 Å, c = 4.3834 Å
α = 90.00°, β = 90.00°, γ = 90.00°
Element x y z (fractional)
Ag 0.0000 0.0000 0.5000
Ti 0.5000 0.0000 0.0000
Tl 0.5000 0.5000 0.5000
Ti 0.0000 0.5000 0.0000
H 0.0000 0.0000 0.0000

Entry 4:
# Ti2VAgH

Ti2VAgH after structural relaxation (PBE, Alexandria).

symmetry	No. 123
DFT total energy	-6.2358	eV/atom

a = 4.1968 Å, b = 4.1968 Å, c = 3.7651 Å
α = 90.00°, β = 90.00°, γ = 90.00°
Element x y z (fractional)
V 0.0000 0.0000 0.5000
Ti 0.0000 0.5000 0.0000
Ti 0.5000 0.0000 0.0000
H 0.0000 0.0000 0.0000
Ag 0.5000 0.5000 0.5000

Entry 5:
# TiAgH2W

TiAgH2W after structural relaxation (PBE, Alexandria).

symmetry	No. 123
DFT total energy	-5.1891	eV/atom

a = 3.6295 Å, b = 5.1942 Å, c = 3.6295 Å
α = 90.00°, β = 90.00°, γ = 90.00°
Element x y z (fractional)
H 0.0000 0.0000 0.5000
Ag 0.0000 0.5000 0.0000
W 0.0000 0.0000 0.0000
H 0.5000 0.0000 0.0000
Ti 0.5000 0.5000 0.5000

Entry 6:
# TlAgH3

TlAgH3 after structural relaxation (PBE, Alexandria).

distance to the lowest polymorph of the same formula	390	meV/atom
symmetry	No. 221
DFT total energy	-2.2900	eV/atom

a = 4.0842 Å, b = 4.0842 Å, c = 4.0842 Å
α = 90.00°, β = 90.00°, γ = 90.00°
Element x y z (fractional)
Tl 0.0000 0.0000 0.0000
Ag 0.5000 0.5000 0.5000
H 0.5000 0.0000 0.0000
H 0.0000 0.0000 0.5000
H 0.0000 0.5000 0.0000

Entry 7:
# Tl2AgH

Tl2AgH after structural relaxation (PBE, Alexandria).

distance to the lowest polymorph of the same formula	0	meV/atom
symmetry	No. 122
DFT total energy	-2.3389	eV/atom

a = 5.7760 Å, b = 5.7760 Å, c = 7.3476 Å
α = 66.86°, β = 66.86°, γ = 90.00°
Element x y z (fractional)
Ag 0.0000 0.0000 0.0000
H 0.5000 0.5000 0.0000
Ag 0.7500 0.2500 0.5000
Tl 0.5373 0.1250 0.2500
Tl 0.3750 0.4627 0.7500
H 0.2500 0.7500 0.5000
Tl 0.8750 0.7873 0.7500
Tl 0.2127 0.6250 0.2500

Entry 8:
# Tl2AgH2

Tl2AgH2 after structural relaxation (PBE, Alexandria).

distance to the lowest polymorph of the same formula	0	meV/atom
symmetry	No. 139
DFT total energy	-2.7117	eV/atom

a = 5.1254 Å, b = 5.1254 Å, c = 5.0017 Å
α = 59.18°, β = 59.18°, γ = 90.00°
Element x y z (fractional)
Ag 0.0000 0.0000 0.0000
Tl 0.2500 0.7500 0.5000
H 0.4445 0.4445 0.1111
Tl 0.7500 0.2500 0.5000
H 0.5555 0.5555 0.8889

Entry 9:
# TlAgH2

TlAgH2 after structural relaxation (PBE, Alexandria).

distance to the lowest polymorph of the same formula	486	meV/atom
symmetry	No. 225
DFT total energy	-2.2455	eV/atom

a = 4.3216 Å, b = 4.3216 Å, c = 4.3216 Å
α = 60.00°, β = 60.00°, γ = 60.00°
Element x y z (fractional)
H 0.7500 0.7500 0.7500
Ag 0.0000 0.0000 0.0000
Tl 0.5000 0.5000 0.5000
H 0.2500 0.2500 0.2500

Entry 10:
# Tl2AgH

Tl2AgH after structural relaxation (PBE, Alexandria).

distance to the lowest polymorph of the same formula	11	meV/atom
symmetry	No. 225
DFT total energy	-2.3282	eV/atom

a = 4.9562 Å, b = 4.9562 Å, c = 4.9562 Å
α = 60.00°, β = 60.00°, γ = 60.00°
Element x y z (fractional)
Ag 0.5000 0.5000 0.5000
Tl 0.7500 0.7500 0.7500
Tl 0.2500 0.2500 0.2500
H 0.0000 0.0000 0.0000

Entry 11:
# Tl2Ag2H

Tl2Ag2H after structural relaxation (PBE, Alexandria).

distance to the lowest polymorph of the same formula	28	meV/atom
symmetry	No. 127
DFT total energy	-2.4632	eV/atom

a = 5.9378 Å, b = 5.9378 Å, c = 5.7404 Å
α = 90.00°, β = 90.00°, γ = 90.00°
Element x y z (fractional)
Ag 0.6831 0.1831 0.0000
Ag 0.8169 0.6831 0.0000
Tl 0.8173 0.3173 0.5000
Ag 0.3169 0.8169 0.0000
Tl 0.6827 0.8173 0.5000
Tl 0.1827 0.6827 0.5000
Ag 0.1831 0.3169 0.0000
H 0.0000 0.0000 0.0000
Tl 0.3173 0.1827 0.5000
H 0.5000 0.5000 0.0000

Entry 12:
# Tl12Ag3H5

Tl12Ag3H5 after structural relaxation (PBE, Alexandria).

symmetry	No. 230
DFT total energy	-2.4080	eV/atom

a = 13.4770 Å, b = 13.4770 Å, c = 13.4770 Å
α = 109.47°, β = 109.47°, γ = 109.47°
Element x y z (fractional)
Tl 0.6143 0.5929 0.9083
Tl 0.4071 0.0215 0.3155
Tl 0.5215 0.2060 0.1143
Tl 0.0929 0.1845 0.4785
H 0.2500 0.8750 0.1250
Tl 0.0215 0.4071 0.8155
Tl 0.3155 0.7940 0.4083
H 0.2500 0.3750 0.6250
Tl 0.3857 0.4071 0.0917
H 0.7500 0.1250 0.8750
H 0.5000 0.0000 0.5000
H 0.8750 0.6250 0.7500
Ag 0.2500 0.1250 0.3750
Tl 0.1845 0.0917 0.7060
Tl 0.4071 0.3857 0.5917
Tl 0.6845 0.2060 0.5917
Tl 0.8155 0.9071 0.0215
Ag 0.8750 0.1250 0.2500
Ag 0.6250 0.3750 0.7500
Tl 0.5929 0.6143 0.4083
H 0.3750 0.2500 0.1250
Tl 0.7060 0.1143 0.0215
Tl 0.9083 0.0929 0.6143
H 0.5000 0.5000 0.5000
Ag 0.3750 0.7500 0.6250
H 0.6250 0.8750 0.2500
Ag 0.7500 0.3750 0.1250
Tl 0.7060 0.5917 0.1845
H 0.5000 0.5000 0.0000
Tl 0.9785 0.3857 0.2940
Tl 0.5929 0.9785 0.6845
Tl 0.9071 0.0917 0.8857
Tl 0.0917 0.9071 0.3857
Tl 0.1143 0.4083 0.0929
Ag 0.2500 0.6250 0.8750
H 0.0000 0.0000 0.0000
Tl 0.4083 0.1143 0.5929
H 0.8750 0.2500 0.6250
Ag 0.1250 0.8750 0.7500
H 0.1250 0.3750 0.2500
H 0.1250 0.7500 0.3750
Ag 0.6250 0.2500 0.3750
Tl 0.7940 0.3155 0.9083
Ag 0.1250 0.2500 0.8750
Tl 0.8857 0.2940 0.4785
Tl 0.3857 0.9785 0.7940
Tl 0.8155 0.9083 0.2940
Tl 0.7940 0.4785 0.3857
Tl 0.9785 0.5929 0.1845
H 0.0000 0.5000 0.5000
Tl 0.5917 0.8857 0.4071
Tl 0.4785 0.7940 0.8857
Tl 0.2060 0.6845 0.0917
H 0.3750 0.1250 0.7500
H 0.5000 0.0000 0.0000
Tl 0.6143 0.0215 0.2060
Tl 0.0917 0.1845 0.2060
Tl 0.3155 0.5215 0.4071
Tl 0.9071 0.8155 0.5215
Tl 0.9083 0.8155 0.7940
Tl 0.5215 0.3155 0.9071
Ag 0.3750 0.6250 0.2500
H 0.6250 0.7500 0.8750
Ag 0.7500 0.8750 0.6250
Tl 0.0929 0.9083 0.1143
Tl 0.2060 0.5215 0.6143
Tl 0.6845 0.4785 0.5929
Tl 0.4083 0.2940 0.3155
H 0.7500 0.6250 0.3750
Tl 0.8857 0.5917 0.9071
Tl 0.1143 0.7060 0.5215
H 0.0000 0.5000 0.0000
Ag 0.8750 0.7500 0.1250
Tl 0.4785 0.6845 0.0929
Tl 0.1845 0.0929 0.9785
H 0.0000 0.0000 0.5000
Tl 0.2940 0.4083 0.8155
Tl 0.5917 0.7060 0.6845
Tl 0.2940 0.8857 0.9785
Tl 0.0215 0.6143 0.7060

Q: The highest DFT total energy belongs to which entry?
A: TlAgH2